Entry 1:
The following is a DFT calculation (PBE) of a geometry-optimized PuGaP2 structure.

Geometry as CIF:
```
data_PuGaP2
_chemical_formula_sum 'Pu3 Ga3 P6'
_space_group_name_H-M_alt 'R -3 m'
_space_group_IT_number 166
_space_group_name_Hall '-R 3 2"'
_cell_length_a 3.3582
_cell_length_b 3.3582
_cell_length_c 26.2059
_cell_angle_alpha 90.00
_cell_angle_beta 90.00
_cell_angle_gamma 120.00
loop_
_atom_site_label
_atom_site_fract_x
_atom_site_fract_y
_atom_site_fract_z
_atom_site_occupancy
Pu1 0.0000 0.0000 0.0000 1
Ga1 0.0000 0.0000 0.5000 1
P1 0.0000 0.0000 0.1061 1
```

Output
M_tot in μB/f.u.: 6.12
Calculated volume in Å³/atom: 21.33
E above lowest polymorph in eV/atom: 0.791
Fermi-level density of states in states/eV/f.u.: 7.1

***

Entry 2:
The following is a DFT calculation (PBE) of a geometry-optimized Pu2GaP structure.

Geometry as CIF:
```
data_Pu2GaP
_chemical_formula_sum 'Pu2 Ga1 P1'
_space_group_name_H-M_alt 'P 4/m m m'
_space_group_IT_number 123
_space_group_name_Hall '-P 4 2'
_cell_length_a 3.6682
_cell_length_b 3.6682
_cell_length_c 6.2690
_cell_angle_alpha 90.00
_cell_angle_beta 90.00
_cell_angle_gamma 90.00
loop_
_atom_site_label
_atom_site_fract_x
_atom_site_fract_y
_atom_site_fract_z
_atom_site_occupancy
Pu1 0.0000 0.0000 0.2283 1
Ga1 0.5000 0.5000 0.5000 1
P1 0.5000 0.5000 0.0000 1
```

Output
M_tot in μB/f.u.: 11.04
Calculated volume in Å³/atom: 21.09
E above lowest polymorph in eV/atom: 0.000
Fermi-level density of states in states/eV/f.u.: 11.7

***

Entry 3:
The following is a DFT calculation (PBE) of a geometry-optimized PuGaP2 structure.

Geometry as CIF:
```
data_PuGaP2
_chemical_formula_sum 'Pu1 Ga1 P2'
_space_group_name_H-M_alt 'P 4/m m m'
_space_group_IT_number 123
_space_group_name_Hall '-P 4 2'
_cell_length_a 4.3000
_cell_length_b 4.3000
_cell_length_c 3.7022
_cell_angle_alpha 90.00
_cell_angle_beta 90.00
_cell_angle_gamma 90.00
loop_
_atom_site_label
_atom_site_fract_x
_atom_site_fract_y
_atom_site_fract_z
_atom_site_occupancy
Pu1 0.0000 0.0000 0.0000 1
Ga1 0.5000 0.5000 0.0000 1
P1 0.0000 0.5000 0.5000 1
```

Output
M_tot in μB/f.u.: 4.23
Calculated volume in Å³/atom: 17.11
E above lowest polymorph in eV/atom: 0.000
Fermi-level density of states in states/eV/f.u.: 8.2

***

Entry 4:
The following is a DFT calculation (PBE) of a geometry-optimized PuGa2P structure.

Geometry as CIF:
```
data_PuGa2P
_chemical_formula_sum 'Pu1 Ga2 P1'
_space_group_name_H-M_alt 'P 4/m m m'
_space_group_IT_number 123
_space_group_name_Hall '-P 4 2'
_cell_length_a 4.0166
_cell_length_b 4.0166
_cell_length_c 4.5659
_cell_angle_alpha 90.00
_cell_angle_beta 90.00
_cell_angle_gamma 90.00
loop_
_atom_site_label
_atom_site_fract_x
_atom_site_fract_y
_atom_site_fract_z
_atom_site_occupancy
Pu1 0.0000 0.0000 0.0000 1
Ga1 0.0000 0.5000 0.5000 1
P1 0.5000 0.5000 0.0000 1
```

Output
M_tot in μB/f.u.: 4.97
Calculated volume in Å³/atom: 18.42
Fermi-level density of states in states/eV/f.u.: 7.8
VASP energy in eV/atom: -6.97

***

Entry 5:
The following is a DFT calculation (PBE) of a geometry-optimized SrPu2GaP4 structure.

Geometry as CIF:
```
data_SrPu2GaP4
_chemical_formula_sum 'Sr4 Pu8 Ga4 P16'
_space_group_name_H-M_alt 'C m c m'
_space_group_IT_number 63
_space_group_name_Hall '-C 2c 2'
_cell_length_a 4.0269
_cell_length_b 13.7025
_cell_length_c 13.5308
_cell_angle_alpha 90.00
_cell_angle_beta 90.00
_cell_angle_gamma 90.00
loop_
_atom_site_label
_atom_site_fract_x
_atom_site_fract_y
_atom_site_fract_z
_atom_site_occupancy
Sr1 0.0000 0.1150 0.2500 1
Pu1 0.0000 0.3701 0.0558 1
Ga1 0.0000 0.1563 0.7500 1
P1 0.0000 0.0000 0.0000 1
P2 0.0000 0.2623 0.6133 1
P3 0.0000 0.4431 0.2500 1
```

Output
M_tot in μB/f.u.: 9.00
Calculated volume in Å³/atom: 23.33
Fermi-level density of states in states/eV/f.u.: 17.5
VASP energy in eV/atom: -7.76

***

Entry 6:
The following is a DFT calculation (PBE) of a geometry-optimized Rb2GaP structure.

Geometry as CIF:
```
data_Rb2GaP
_chemical_formula_sum 'Rb8 Ga4 P4'
_space_group_name_H-M_alt 'I -4 2 d'
_space_group_IT_number 122
_space_group_name_Hall 'I -4 2bw'
_cell_length_a 5.0379
_cell_length_b 5.0379
_cell_length_c 22.6903
_cell_angle_alpha 90.00
_cell_angle_beta 90.00
_cell_angle_gamma 90.00
loop_
_atom_site_label
_atom_site_fract_x
_atom_site_fract_y
_atom_site_fract_z
_atom_site_occupancy
Rb1 0.2430 0.2500 0.1250 1
Ga1 0.0000 0.0000 0.5000 1
P1 0.0000 0.0000 0.0000 1
```

Output
M_tot in μB/f.u.: 0.01
Calculated volume in Å³/atom: 35.99
E above lowest polymorph in eV/atom: 0.264
Fermi-level density of states in states/eV/f.u.: 1.6